(1)
Computed, not measured: a relaxed structure of KCoAs2 at the PBE level of DFT.

Cell lengths 2.9735, 2.9735, 9.5231 Å; angles 90.00, 90.00, 90.00 degrees
Closest atoms and distances in Å follow each position.
Fractional coordinates of all 4 atoms:
1 K 0.0000 0.0000 0.0000  4 K 2.97
2 Co 0.5000 0.5000 0.7196  4 As 2.38
3 As 0.0000 0.0000 0.6030  4 Co 2.38
4 As 0.5000 0.5000 0.2842  4 As 2.97

E_form   0.30 eV per atom
Energy above the lowest structure with this stoichiometry   536.7 meV per atom


(2)
Computed, not measured: a relaxed structure of CsSrBi at the PBE level of DFT.

Cell lengths 4.7369, 8.8074, 8.8364 Å; angles 65.87, 89.99, 90.00 degrees
Closest atoms and distances in Å follow each position.
Fractional coordinates of all 6 atoms:
1 Cs 0.0000 0.0000 0.0000  4 Bi 4.05-4.06, 4 Sr 4.39-4.43
2 Cs 0.4988 0.5023 0.4978  2 Bi 4.11
3 Sr 0.0010 0.4982 0.0014  4 Bi 3.39-3.40
4 Sr 0.0010 0.9986 0.5018  4 Bi 3.39-3.40
5 Bi 0.5010 0.2203 0.2246  4 Sr 3.39-3.40
6 Bi 0.5010 0.7758 0.7792  4 Sr 3.39-3.40

E_form   -0.51 eV per atom


(3)
Computed, not measured: a relaxed structure of DyMgSb2 at the PBE level of DFT.

Cell lengths 4.3519, 4.3519, 20.8559 Å; angles 90.00, 90.00, 120.00 degrees
Closest atoms and distances in Å follow each position.
Fractional coordinates of all 12 atoms:
1 Dy 0.0000 0.0000 0.0000  6 Sb 3.10
2 Dy 0.3333 0.6667 0.6667  6 Sb 3.10
3 Dy 0.6667 0.3333 0.3333  6 Sb 3.10
4 Mg 0.0000 0.0000 0.5000  6 Sb 3.01
5 Mg 0.3333 0.6667 0.1667  6 Sb 3.01
6 Mg 0.6667 0.3333 0.8333  6 Sb 3.01
7 Sb 0.0000 0.0000 0.2464  3 Mg 3.01, 3 Dy 3.10
8 Sb 0.0000 0.0000 0.7536  3 Mg 3.01, 3 Dy 3.10
9 Sb 0.3333 0.6667 0.4202  3 Mg 3.01, 3 Dy 3.10
10 Sb 0.3333 0.6667 0.9131  3 Mg 3.01, 3 Dy 3.10
11 Sb 0.6667 0.3333 0.0869  3 Mg 3.01, 3 Dy 3.10
12 Sb 0.6667 0.3333 0.5798  3 Mg 3.01, 3 Dy 3.10

E_form (uncorrected)   -0.56 eV/atom
Energy above the lowest structure with this stoichiometry   78.6 meV per atom


(4)
Computed, not measured: a relaxed structure of NdAg3Sn at the PBE level of DFT.

Cell lengths 4.9555, 6.7410, 6.7651 Å; angles 90.00, 90.00, 90.00 degrees
Closest atoms and distances in Å follow each position.
Fractional coordinates of all 10 atoms:
1 Nd 0.2500 0.2500 0.2404  6 Ag 3.14-3.19, 2 Sn 3.29
2 Nd 0.7500 0.7500 0.7596  6 Ag 3.14-3.19, 2 Sn 3.29
3 Ag 0.2500 0.0482 0.7487  2 Ag 2.72-2.83, 1 Sn 2.90
4 Ag 0.2500 0.4518 0.7487  2 Ag 2.72-2.83, 1 Sn 2.90
5 Ag 0.2500 0.7500 0.0441  1 Sn 2.68, 2 Ag 2.83
6 Ag 0.7500 0.2500 0.9559  1 Sn 2.68, 2 Ag 2.83
7 Ag 0.7500 0.5482 0.2513  2 Ag 2.72-2.83, 1 Sn 2.90
8 Ag 0.7500 0.9518 0.2513  2 Ag 2.72-2.83, 1 Sn 2.90
9 Sn 0.2500 0.7500 0.4407  3 Ag 2.68-2.90
10 Sn 0.7500 0.2500 0.5593  3 Ag 2.68-2.90

E_form   -0.25 eV per atom


(5)
Computed, not measured: a relaxed structure of Ga5Pt at the PBE level of DFT.

Cell lengths 3.7127, 8.0138, 7.2802 Å; angles 90.00, 93.57, 90.00 degrees
Closest atoms and distances in Å follow each position.
Fractional coordinates of all 12 atoms:
1 Ga 0.0000 0.0000 0.0000  6 Ga 2.67-2.87
2 Ga 0.0000 0.5000 0.0000  6 Ga 2.67-2.87
3 Ga 0.2121 0.0492 0.3574  3 Pt 2.63-2.66, 3 Ga 2.70-2.81
4 Ga 0.2121 0.4508 0.3574  3 Pt 2.63-2.66, 3 Ga 2.70-2.81
5 Ga 0.2614 0.2500 0.7595  2 Pt 2.65-2.67, 3 Ga 2.87
6 Ga 0.3961 0.7500 0.8762  5 Ga 2.67-2.87, 1 Pt 2.73
7 Ga 0.6039 0.2500 0.1238  5 Ga 2.67-2.87, 1 Pt 2.73
8 Ga 0.7386 0.7500 0.2405  2 Pt 2.65-2.67, 3 Ga 2.87
9 Ga 0.7879 0.5492 0.6426  3 Pt 2.63-2.66, 3 Ga 2.70-2.81
10 Ga 0.7879 0.9508 0.6426  3 Pt 2.63-2.66, 3 Ga 2.70-2.81
11 Pt 0.2738 0.7500 0.5032  9 Ga 2.63-2.73
12 Pt 0.7262 0.2500 0.4968  9 Ga 2.63-2.73

E_form   -0.26 eV per atom


(6)
Computed, not measured: a relaxed structure of Cd2MoPb at the PBE level of DFT.

Cell lengths 10.8698, 2.9782, 5.4485 Å; angles 90.00, 100.16, 90.00 degrees
Closest atoms and distances in Å follow each position.
Fractional coordinates of all 8 atoms:
1 Cd 0.0000 0.0000 0.0000  5 Cd 2.89-3.20, 4 Mo 3.11-3.16, 1 Pb 3.19
2 Cd 0.2381 0.0000 0.8352  5 Cd 2.89-3.20, 2 Mo 2.92, 4 Pb 3.15-3.20
3 Cd 0.5000 0.5000 0.0000  5 Cd 2.89-3.20, 4 Mo 3.11-3.16, 1 Pb 3.19
4 Cd 0.7381 0.5000 0.8352  5 Cd 2.89-3.20, 2 Mo 2.92, 4 Pb 3.15-3.20
5 Mo 0.0429 0.5000 0.5096  6 Cd 2.92-3.16, 2 Mo 2.98, 3 Pb 3.03
6 Mo 0.5429 0.0000 0.5096  6 Cd 2.92-3.16, 2 Mo 2.98, 3 Pb 3.03
7 Pb 0.2986 0.5000 0.3618  2 Pb 2.98, 3 Mo 3.03, 5 Cd 3.15-3.20
8 Pb 0.7986 0.0000 0.3618  2 Pb 2.98, 3 Mo 3.03, 5 Cd 3.15-3.20

E_form   0.49 eV per atom


What did the fifth record say?
Computed, not measured: a relaxed structure of Ga5Pt at the PBE level of DFT.

Cell lengths 3.7127, 8.0138, 7.2802 Å; angles 90.00, 93.57, 90.00 degrees
Closest atoms and distances in Å follow each position.
Fractional coordinates of all 12 atoms:
1 Ga 0.0000 0.0000 0.0000  6 Ga 2.67-2.87
2 Ga 0.0000 0.5000 0.0000  6 Ga 2.67-2.87
3 Ga 0.2121 0.0492 0.3574  3 Pt 2.63-2.66, 3 Ga 2.70-2.81
4 Ga 0.2121 0.4508 0.3574  3 Pt 2.63-2.66, 3 Ga 2.70-2.81
5 Ga 0.2614 0.2500 0.7595  2 Pt 2.65-2.67, 3 Ga 2.87
6 Ga 0.3961 0.7500 0.8762  5 Ga 2.67-2.87, 1 Pt 2.73
7 Ga 0.6039 0.2500 0.1238  5 Ga 2.67-2.87, 1 Pt 2.73
8 Ga 0.7386 0.7500 0.2405  2 Pt 2.65-2.67, 3 Ga 2.87
9 Ga 0.7879 0.5492 0.6426  3 Pt 2.63-2.66, 3 Ga 2.70-2.81
10 Ga 0.7879 0.9508 0.6426  3 Pt 2.63-2.66, 3 Ga 2.70-2.81
11 Pt 0.2738 0.7500 0.5032  9 Ga 2.63-2.73
12 Pt 0.7262 0.2500 0.4968  9 Ga 2.63-2.73

E_form   -0.26 eV per atom


Please write out number 5 again, unchanged.
Computed, not measured: a relaxed structure of Ga5Pt at the PBE level of DFT.

Cell lengths 3.7127, 8.0138, 7.2802 Å; angles 90.00, 93.57, 90.00 degrees
Closest atoms and distances in Å follow each position.
Fractional coordinates of all 12 atoms:
1 Ga 0.0000 0.0000 0.0000  6 Ga 2.67-2.87
2 Ga 0.0000 0.5000 0.0000  6 Ga 2.67-2.87
3 Ga 0.2121 0.0492 0.3574  3 Pt 2.63-2.66, 3 Ga 2.70-2.81
4 Ga 0.2121 0.4508 0.3574  3 Pt 2.63-2.66, 3 Ga 2.70-2.81
5 Ga 0.2614 0.2500 0.7595  2 Pt 2.65-2.67, 3 Ga 2.87
6 Ga 0.3961 0.7500 0.8762  5 Ga 2.67-2.87, 1 Pt 2.73
7 Ga 0.6039 0.2500 0.1238  5 Ga 2.67-2.87, 1 Pt 2.73
8 Ga 0.7386 0.7500 0.2405  2 Pt 2.65-2.67, 3 Ga 2.87
9 Ga 0.7879 0.5492 0.6426  3 Pt 2.63-2.66, 3 Ga 2.70-2.81
10 Ga 0.7879 0.9508 0.6426  3 Pt 2.63-2.66, 3 Ga 2.70-2.81
11 Pt 0.2738 0.7500 0.5032  9 Ga 2.63-2.73
12 Pt 0.7262 0.2500 0.4968  9 Ga 2.63-2.73

E_form   -0.26 eV per atom


Please write out number 5 again, unchanged.
Computed, not measured: a relaxed structure of Ga5Pt at the PBE level of DFT.

Cell lengths 3.7127, 8.0138, 7.2802 Å; angles 90.00, 93.57, 90.00 degrees
Closest atoms and distances in Å follow each position.
Fractional coordinates of all 12 atoms:
1 Ga 0.0000 0.0000 0.0000  6 Ga 2.67-2.87
2 Ga 0.0000 0.5000 0.0000  6 Ga 2.67-2.87
3 Ga 0.2121 0.0492 0.3574  3 Pt 2.63-2.66, 3 Ga 2.70-2.81
4 Ga 0.2121 0.4508 0.3574  3 Pt 2.63-2.66, 3 Ga 2.70-2.81
5 Ga 0.2614 0.2500 0.7595  2 Pt 2.65-2.67, 3 Ga 2.87
6 Ga 0.3961 0.7500 0.8762  5 Ga 2.67-2.87, 1 Pt 2.73
7 Ga 0.6039 0.2500 0.1238  5 Ga 2.67-2.87, 1 Pt 2.73
8 Ga 0.7386 0.7500 0.2405  2 Pt 2.65-2.67, 3 Ga 2.87
9 Ga 0.7879 0.5492 0.6426  3 Pt 2.63-2.66, 3 Ga 2.70-2.81
10 Ga 0.7879 0.9508 0.6426  3 Pt 2.63-2.66, 3 Ga 2.70-2.81
11 Pt 0.2738 0.7500 0.5032  9 Ga 2.63-2.73
12 Pt 0.7262 0.2500 0.4968  9 Ga 2.63-2.73

E_form   -0.26 eV per atom